#a
First-principles (PBE) data for a relaxed structure of TmZrZn, as listed in the Alexandria database.

As for the density of states at the Fermi level: 2.3 states/eV/f.u. The size of the total moment is 0.00 μB per formula unit.

Cell lengths 3.350, 3.350, 11.904 Å; angles 90.00, 90.00, 90.00 degrees
Space group I4mm (No. 107)
Asymmetric unit:
Tm  0.000  0.000  0.000
Zr  0.000  0.000  0.311
Zn  0.000  0.000  0.666

#b
First-principles (PBE) data for a relaxed structure of TmZrZn, as listed in the Alexandria database.

As for the density of states at the Fermi level: 2.2 states/eV/f.u. The size of the total moment is 0.00 μB per formula unit.

Cell lengths 4.8438, 4.8438, 3.3687 Å; angles 90.00, 90.00, 120.00 degrees
Space group P3m1 (No. 156)
Asymmetric unit:
Tm  0.0000  0.0000  0.0000
Zr  0.3333  0.6667  0.4921
Zn  0.6667  0.3333  0.5296

Quick one: least stable of them? #b

#a
First-principles (PBE) data for a relaxed structure of TmZrZn4, as listed in the Alexandria database.

As for the density of states at the Fermi level: 6.1 states/eV/f.u. The size of the total moment is 1.25 μB per formula unit.

Cell lengths 7.529, 7.529, 7.529 Å; angles 90.00, 90.00, 90.00 degrees
Space group F-43m (No. 216)
Asymmetric unit:
Tm  0.000  0.000  0.000
Zr  0.250  0.250  0.750
Zn  0.124  0.124  0.376

#b
First-principles (PBE) data for a relaxed structure of TmZrZn4, as listed in the Alexandria database.

As for the density of states at the Fermi level: 4.1 states/eV/f.u. The size of the total moment is 0.00 μB per formula unit.

Cell lengths 4.340, 6.662, 7.660 Å; angles 90.00, 90.00, 90.00 degrees
Space group Immm (No. 71)
Asymmetric unit:
Tm  0.000  0.000  0.000
Zr  0.000  0.500  0.000
Zn  0.000  0.228  0.333

Quick one: least stable of them? #a